Below is a relaxed structure of Ho3Sc2Cd2, with properties calculated at the PBE level.

Values from the calculation:
- Formation enthalpy at 0 K: -61 kJ/mol of formula units
- Total energy: -4.123 eV/atom
- Theoretical density: 7.3 Mg/m³

Unit cell a=4.9063 b=3.3975 c=11.2501 alpha=90.00 beta=77.41 gamma=90.00
Closest atoms and distances in Å follow each position.
Fractional positions:
Ho (0.8479, 0.0000, 0.3041)  6 Sc 3.28-3.40, 3 Ho 3.34-3.40, 4 Cd 3.46
Ho (0.0000, 0.0000, 0.0000)  4 Ho 3.34-3.40, 8 Cd 3.38
Ho (0.1521, 0.0000, 0.6959)  6 Sc 3.28-3.40, 3 Ho 3.34-3.40, 4 Cd 3.46
Sc (0.7136, 0.5000, 0.5729)  2 Sc 2.93, 1 Cd 3.11, 4 Ho 3.28
Sc (0.2864, 0.5000, 0.4271)  2 Sc 2.93, 1 Cd 3.11, 4 Ho 3.28
Cd (0.5719, 0.5000, 0.8562)  1 Sc 3.11, 3 Cd 3.16-3.40, 8 Ho 3.38-3.46
Cd (0.4281, 0.5000, 0.1438)  1 Sc 3.11, 3 Cd 3.16-3.40, 8 Ho 3.38-3.46